--- 1 ---
Below is crystalline Rb2AgCl at its relaxed geometry, with properties calculated at the GGA-PBE level.

Cell lengths 4.103, 4.103, 8.517 Å; angles 90.00, 90.00, 90.00 degrees
Space group P4/mmm (No. 123)
Inequivalent atoms, fractional coordinates:
Rb (0.000, 0.000, 0.229) [2 per cell]
Ag (0.500, 0.500, 0.500) [1 per cell]
Cl (0.500, 0.500, 0.000) [1 per cell]

Computed properties:
- Size of the total moment: 0.000 μB/f.u.


--- 2 ---
Below is crystalline Rb2AgCl at its relaxed geometry, with properties calculated at the GGA-PBE level.

Cell lengths 8.403, 8.403, 8.403 Å; angles 90.00, 90.00, 90.00 degrees
Space group Fm-3m (No. 225)
Inequivalent atoms, fractional coordinates:
Rb (0.250, 0.250, 0.250) [8 per cell]
Ag (0.000, 0.000, 0.000) [4 per cell]
Cl (0.000, 0.000, 0.500) [4 per cell]

Computed properties:
- Size of the total moment: 0.000 μB/f.u.


--- 3 ---
Below is crystalline Rb2AgCl at its relaxed geometry, with properties calculated at the GGA-PBE level.

Cell lengths 4.7927, 4.7927, 25.8112 Å; angles 90.00, 90.00, 120.00 degrees
Space group R3m (No. 160, hexagonal axes)
Inequivalent atoms, fractional coordinates:
Rb (0.0000, 0.0000, 0.0000) [3 per cell]
Rb (0.0000, 0.0000, 0.1836) [3 per cell]
Ag (0.0000, 0.0000, 0.4245) [3 per cell]
Cl (0.0000, 0.0000, 0.5920) [3 per cell]

Computed properties:
- Size of the total moment: 0.000 μB/f.u.


Winner for stability: 3


--- 1 ---
Below is crystalline Rb2AgCl at its relaxed geometry, with properties calculated at the GGA-PBE level.

Cell lengths 4.8734, 4.8734, 25.0356 Å; angles 90.00, 90.00, 120.00 degrees
Space group R-3m (No. 166, hexagonal axes)
Inequivalent atoms, fractional coordinates:
Rb (0.0000, 0.0000, 0.2417) [6 per cell]
Ag (0.0000, 0.0000, 0.0000) [3 per cell]
Cl (0.0000, 0.0000, 0.5000) [3 per cell]

Computed properties:
- Size of the total moment: 0.000 μB/f.u.


--- 2 ---
Below is crystalline Rb2AgCl at its relaxed geometry, with properties calculated at the GGA-PBE level.

Cell lengths 8.863, 8.863, 10.103 Å; angles 90.00, 90.00, 90.00 degrees
Space group I-42d (No. 122)
Inequivalent atoms, fractional coordinates:
Rb (0.215, 0.250, 0.125) [8 per cell]
Ag (0.000, 0.000, 0.500) [4 per cell]
Cl (0.000, 0.000, 0.000) [4 per cell]

Computed properties:
- Size of the total moment: 0.000 μB/f.u.


Winner for stability: 1


--- 1 ---
Below is crystalline Rb2SmAgCl6 at its relaxed geometry, with properties calculated at the GGA-PBE level.

Cell lengths 7.568, 7.798, 12.966 Å; angles 90.00, 125.32, 90.00 degrees
Space group P2_1/c (No. 14)
Inequivalent atoms, fractional coordinates:
Rb (0.235, 0.057, 0.249) [4 per cell]
Sm (0.500, 0.000, 0.000) [2 per cell]
Ag (0.000, 0.000, 0.500) [2 per cell]
Cl (0.173, 0.201, 0.960) [4 per cell]
Cl (0.262, 0.716, 0.961) [4 per cell]
Cl (0.327, 0.017, 0.749) [4 per cell]

Computed properties:
- Size of the total moment: 0.000 μB/f.u.


--- 2 ---
Below is crystalline Rb2SmAgCl6 at its relaxed geometry, with properties calculated at the GGA-PBE level.

Cell lengths 10.871, 10.871, 10.871 Å; angles 90.00, 90.00, 90.00 degrees
Space group Fm-3m (No. 225)
Inequivalent atoms, fractional coordinates:
Rb (0.250, 0.250, 0.250) [8 per cell]
Sm (0.000, 0.000, 0.000) [4 per cell]
Ag (0.000, 0.000, 0.500) [4 per cell]
Cl (0.000, 0.000, 0.248) [24 per cell]

Computed properties:
- Size of the total moment: 0.000 μB/f.u.


Winner for stability: 1


--- 1 ---
Below is crystalline Rb2AgSnCl6 at its relaxed geometry, with properties calculated at the GGA-PBE level.

Cell lengths 5.309, 5.309, 10.928 Å; angles 90.00, 90.00, 90.00 degrees
Space group P4/mmm (No. 123)
Inequivalent atoms, fractional coordinates:
Rb (0.000, 0.000, 0.206) [2 per cell]
Ag (0.500, 0.500, 0.000) [1 per cell]
Sn (0.500, 0.500, 0.500) [1 per cell]
Cl (0.000, 0.500, 0.000) [2 per cell]
Cl (0.000, 0.500, 0.500) [2 per cell]
Cl (0.500, 0.500, 0.259) [2 per cell]

Computed properties:
- Size of the total moment: 0.000 μB/f.u.


--- 2 ---
Below is crystalline Rb2AgSnCl6 at its relaxed geometry, with properties calculated at the GGA-PBE level.

Cell lengths 7.511, 7.511, 10.683 Å; angles 90.00, 90.00, 90.00 degrees
Space group I4/mmm (No. 139)
Inequivalent atoms, fractional coordinates:
Rb (0.000, 0.500, 0.250) [4 per cell]
Ag (0.000, 0.000, 0.000) [2 per cell]
Sn (0.000, 0.000, 0.500) [2 per cell]
Cl (0.000, 0.000, 0.252) [4 per cell]
Cl (0.249, 0.249, 0.500) [8 per cell]

Computed properties:
- Size of the total moment: 0.000 μB/f.u.


Winner for stability: 2


--- 1 ---
Below is crystalline Rb2TlAgCl6 at its relaxed geometry, with properties calculated at the GGA-PBE level.

Cell lengths 10.655, 10.655, 10.655 Å; angles 90.00, 90.00, 90.00 degrees
Space group Fm-3m (No. 225)
Inequivalent atoms, fractional coordinates:
Rb (0.250, 0.250, 0.250) [8 per cell]
Tl (0.000, 0.000, 0.000) [4 per cell]
Ag (0.000, 0.000, 0.500) [4 per cell]
Cl (0.000, 0.000, 0.249) [24 per cell]

Computed properties:
- Size of the total moment: 0.000 μB/f.u.


--- 2 ---
Below is crystalline Rb2TlAgCl6 at its relaxed geometry, with properties calculated at the GGA-PBE level.

Cell lengths 7.426, 7.545, 12.935 Å; angles 90.00, 124.87, 90.00 degrees
Space group P2_1/c (No. 14)
Inequivalent atoms, fractional coordinates:
Rb (0.238, 0.047, 0.250) [4 per cell]
Tl (0.500, 0.000, 0.000) [2 per cell]
Ag (0.000, 0.000, 0.500) [2 per cell]
Cl (0.182, 0.209, 0.968) [4 per cell]
Cl (0.262, 0.713, 0.971) [4 per cell]
Cl (0.312, 0.005, 0.753) [4 per cell]

Computed properties:
- Size of the total moment: 0.000 μB/f.u.


Winner for stability: 2


--- 1 ---
Below is crystalline Rb2VAgCl6 at its relaxed geometry, with properties calculated at the GGA-PBE level.

Cell lengths 7.662, 7.662, 9.094 Å; angles 90.00, 90.00, 90.00 degrees
Space group I4/mmm (No. 139)
Inequivalent atoms, fractional coordinates:
Rb (0.000, 0.500, 0.250) [4 per cell]
V (0.000, 0.000, 0.000) [2 per cell]
Ag (0.000, 0.000, 0.500) [2 per cell]
Cl (0.000, 0.000, 0.247) [4 per cell]
Cl (0.224, 0.224, 0.000) [8 per cell]

Computed properties:
- Size of the total moment: 2.000 μB/f.u.


--- 2 ---
Below is crystalline Rb2VAgCl6 at its relaxed geometry, with properties calculated at the GGA-PBE level.

Cell lengths 10.268, 10.268, 10.268 Å; angles 90.00, 90.00, 90.00 degrees
Space group Fm-3m (No. 225)
Inequivalent atoms, fractional coordinates:
Rb (0.250, 0.250, 0.250) [8 per cell]
V (0.000, 0.000, 0.000) [4 per cell]
Ag (0.000, 0.000, 0.500) [4 per cell]
Cl (0.000, 0.000, 0.234) [24 per cell]

Computed properties:
- Size of the total moment: 2.000 μB/f.u.


Winner for stability: 2


--- 1 ---
Below is crystalline Re2AgCl at its relaxed geometry, with properties calculated at the GGA-PBE level.

Cell lengths 2.711, 2.711, 8.735 Å; angles 90.00, 90.00, 90.00 degrees
Space group P4/mmm (No. 123)
Inequivalent atoms, fractional coordinates:
Re (0.000, 0.000, 0.246) [2 per cell]
Ag (0.500, 0.500, 0.500) [1 per cell]
Cl (0.500, 0.500, 0.000) [1 per cell]

Computed properties:
- Size of the total moment: 0.000 μB/f.u.


--- 2 ---
Below is crystalline Re2AgCl at its relaxed geometry, with properties calculated at the GGA-PBE level.

Cell lengths 2.777, 4.777, 5.008 Å; angles 90.00, 90.00, 90.00 degrees
Space group Pmmm (No. 47)
Inequivalent atoms, fractional coordinates:
Re (0.000, 0.000, 0.000) [1 per cell]
Re (0.500, 0.500, 0.000) [1 per cell]
Ag (0.000, 0.500, 0.500) [1 per cell]
Cl (0.500, 0.000, 0.500) [1 per cell]

Computed properties:
- Size of the total moment: 0.000 μB/f.u.


Winner for stability: 2


--- 1 ---
Below is crystalline Re2AgCl at its relaxed geometry, with properties calculated at the GGA-PBE level.

Cell lengths 2.785, 4.874, 9.488 Å; angles 90.00, 90.00, 90.00 degrees
Space group Cmmm (No. 65)
Inequivalent atoms, fractional coordinates:
Re (0.000, 0.000, 0.236) [4 per cell]
Ag (0.000, 0.500, 0.500) [2 per cell]
Cl (0.000, 0.500, 0.000) [2 per cell]

Computed properties:
- Size of the total moment: 0.001 μB/f.u.


--- 2 ---
Below is crystalline Re2AgCl at its relaxed geometry, with properties calculated at the GGA-PBE level.

Cell lengths 3.008, 2.976, 8.204 Å; angles 90.00, 100.36, 90.00 degrees
Space group Pm (No. 6)
Inequivalent atoms, fractional coordinates:
Re (0.000, 0.000, 0.000) [1 per cell]
Re (0.411, 0.500, 0.819) [1 per cell]
Ag (0.782, 0.000, 0.557) [1 per cell]
Cl (0.122, 0.500, 0.246) [1 per cell]

Computed properties:
- Size of the total moment: 0.000 μB/f.u.


--- 3 ---
Below is crystalline Re2AgCl at its relaxed geometry, with properties calculated at the GGA-PBE level.

Cell lengths 3.549, 3.549, 14.179 Å; angles 90.00, 90.00, 90.00 degrees
Space group I4/mmm (No. 139)
Inequivalent atoms, fractional coordinates:
Re (0.000, 0.500, 0.250) [4 per cell]
Ag (0.000, 0.000, 0.000) [2 per cell]
Cl (0.000, 0.000, 0.500) [2 per cell]

Computed properties:
- Size of the total moment: 0.800 μB/f.u.


--- 4 ---
Below is crystalline Re2AgCl at its relaxed geometry, with properties calculated at the GGA-PBE level.

Cell lengths 2.909, 2.909, 8.473 Å; angles 90.00, 90.00, 90.00 degrees
Space group P4mm (No. 99)
Inequivalent atoms, fractional coordinates:
Re (0.000, 0.000, 0.000) [1 per cell]
Re (0.500, 0.500, 0.189) [1 per cell]
Ag (0.000, 0.000, 0.442) [1 per cell]
Cl (0.500, 0.500, 0.785) [1 per cell]

Computed properties:
- Size of the total moment: 0.000 μB/f.u.


Winner for stability: 2


--- 1 ---
Below is crystalline Re2AgCl at its relaxed geometry, with properties calculated at the GGA-PBE level.

Cell lengths 3.547, 3.547, 7.038 Å; angles 90.00, 90.00, 90.00 degrees
Space group P4/mmm (No. 123)
Inequivalent atoms, fractional coordinates:
Re (0.000, 0.500, 0.000) [2 per cell]
Ag (0.000, 0.000, 0.500) [1 per cell]
Cl (0.500, 0.500, 0.500) [1 per cell]

Computed properties:
- Size of the total moment: 0.001 μB/f.u.


--- 2 ---
Below is crystalline Re2AgCl at its relaxed geometry, with properties calculated at the GGA-PBE level.

Cell lengths 2.872, 4.348, 6.445 Å; angles 90.00, 90.00, 90.00 degrees
Space group Pmmm (No. 47)
Inequivalent atoms, fractional coordinates:
Re (0.000, 0.000, 0.172) [2 per cell]
Ag (0.500, 0.500, 0.000) [1 per cell]
Cl (0.500, 0.500, 0.500) [1 per cell]

Computed properties:
- Size of the total moment: 0.000 μB/f.u.


Winner for stability: 2


--- 1 ---
Below is crystalline Re2AgCl at its relaxed geometry, with properties calculated at the GGA-PBE level.

Cell lengths 5.221, 10.566, 3.000 Å; angles 90.00, 123.38, 90.00 degrees
Space group C2/m (No. 12)
Inequivalent atoms, fractional coordinates:
Re (0.250, 0.250, 0.000) [4 per cell]
Ag (0.000, 0.000, 0.000) [2 per cell]
Cl (0.000, 0.500, 0.000) [2 per cell]

Computed properties:
- Size of the total moment: 0.000 μB/f.u.


--- 2 ---
Below is crystalline Re2AgCl at its relaxed geometry, with properties calculated at the GGA-PBE level.

Cell lengths 3.160, 5.046, 4.612 Å; angles 90.00, 97.16, 90.00 degrees
Space group P2/m (No. 10)
Inequivalent atoms, fractional coordinates:
Re (0.195, 0.000, 0.299) [2 per cell]
Ag (0.500, 0.500, 0.500) [1 per cell]
Cl (0.000, 0.500, 0.000) [1 per cell]

Computed properties:
- Size of the total moment: 0.000 μB/f.u.


Winner for stability: 2


--- 1 ---
Below is crystalline ReAgCl4 at its relaxed geometry, with properties calculated at the GGA-PBE level.

Cell lengths 8.325, 8.325, 8.325 Å; angles 90.00, 90.00, 90.00 degrees
Space group F-43m (No. 216)
Inequivalent atoms, fractional coordinates:
Re (0.000, 0.000, 0.000) [4 per cell]
Ag (0.250, 0.250, 0.750) [4 per cell]
Cl (0.126, 0.126, 0.374) [16 per cell]

Computed properties:
- Size of the total moment: 3.791 μB/f.u.


--- 2 ---
Below is crystalline ReAgCl4 at its relaxed geometry, with properties calculated at the GGA-PBE level.

Cell lengths 7.203, 7.684, 7.685 Å; angles 72.36, 88.78, 64.40 degrees
Space group P-1 (No. 2)
Inequivalent atoms, fractional coordinates:
Re (0.158, 0.487, 0.026) [2 per cell]
Ag (0.269, 0.884, 0.151) [2 per cell]
Cl (0.124, 0.813, 0.852) [2 per cell]
Cl (0.140, 0.594, 0.283) [2 per cell]
Cl (0.326, 0.376, 0.789) [2 per cell]
Cl (0.347, 0.155, 0.227) [2 per cell]

Computed properties:
- Size of the total moment: 0.000 μB/f.u.


Winner for stability: 2